[1]
This record from Alexandria via LeMat-Bulk describes YAgF2 after structural relaxation. The functional is PBE.

Cell: 5.229 5.229 13.586 Å, 90.00 90.00 90.00°
Space group I-42d (No. 122)
Inequivalent atoms, fractional coordinates:
Y 0.000 0.000 0.000 (multiplicity 4)
Ag 0.000 0.000 0.500 (multiplicity 4)
F 0.015 0.250 0.125 (multiplicity 8)

For the magnetic moment, the calculation gives 0.00 Bohr magnetons per cell. The total DFT energy (no corrections) is -5.501 eV/atom. The energy relative to the elements, uncorrected comes out at -216 kJ per mole of atoms. For the energy relative to the lowest polymorph listed for this composition, the calculation gives 0 meV/atom.

[2]
This record from Alexandria via LeMat-Bulk describes NpAsPdO after structural relaxation. The functional is PBE.

Cell: 4.005 4.005 8.323 Å, 90.00 90.00 90.00°
Space group P4/nmm (No. 129, origin choice 2)
Inequivalent atoms, fractional coordinates:
Np 0.250 0.250 0.141 (multiplicity 2)
As 0.250 0.250 0.687 (multiplicity 2)
Pd 0.250 0.750 0.500 (multiplicity 2)
O 0.250 0.750 0.000 (multiplicity 2)

For the magnetic moment, the calculation gives 7.01 Bohr magnetons per cell. The total DFT energy (no corrections) is -8.440 eV/atom. The energy relative to the elements, uncorrected comes out at -145 kJ per mole of atoms.

[3]
This record from Alexandria via LeMat-Bulk describes CeCoTcH6 after structural relaxation. The functional is PBE.

Cell: 4.4924 4.4924 4.3543 Å, 90.00 90.00 120.00°
Space group P-6m2 (No. 187)
Inequivalent atoms, fractional coordinates:
Ce 0.0000 0.0000 0.0000 (multiplicity 1)
Co 0.3333 0.6667 0.5000 (multiplicity 1)
Tc 0.6667 0.3333 0.5000 (multiplicity 1)
H 0.0129 0.5064 0.2352 (multiplicity 6)

For the magnetic moment, the calculation gives 0.00 Bohr magnetons per cell. The total DFT energy (no corrections) is -5.060 eV/atom.

[4]
This record from Alexandria via LeMat-Bulk describes BaSiP after structural relaxation. The functional is PBE.

Cell: 7.159 7.159 7.159 Å, 90.00 90.00 90.00°
Space group F-43m (No. 216)
Inequivalent atoms, fractional coordinates:
Ba 0.000 0.000 0.000 (multiplicity 4)
Si 0.000 0.000 0.500 (multiplicity 4)
P 0.250 0.250 0.750 (multiplicity 4)

For the magnetic moment, the calculation gives 0.00 Bohr magnetons per cell. The total DFT energy (no corrections) is -4.151 eV/atom. The energy relative to the elements, uncorrected comes out at 10 kJ per mole of atoms. For the energy relative to the lowest polymorph listed for this composition, the calculation gives 577 meV/atom.